# SrIn2CuSn (PBE-GGA, optimized geometry)
# Final energy, eV per atom: -3.171
# Volume, Å³ per cell: 140.7
# Energy relative to the elements, kJ/mol of formula units: -58
data_SrIn2CuSn
_chemical_formula_sum 'Sr1 In2 Cu1 Sn1'
_space_group_name_H-M_alt 'P 4/m m m'
_space_group_IT_number 123
_space_group_name_Hall '-P 4 2'
_cell_length_a 5.186
_cell_length_b 5.186
_cell_length_c 5.234
_cell_angle_alpha 90.00
_cell_angle_beta 90.00
_cell_angle_gamma 90.00
loop_
_atom_site_label
_atom_site_fract_x
_atom_site_fract_y
_atom_site_fract_z
Sr1 0.000 0.000 0.000
In1 0.000 0.500 0.500
Cu1 0.500 0.500 0.500
Sn1 0.500 0.500 0.000